Below is a geometry-optimized Na2CrH structure, with properties calculated at the PBE-GGA level.

Summary:
- distance to the lowest polymorph of the same formula (meV/atom) = 0
- space-group type = I-42d, No. 122

```
Na2CrH
1.0
6.8327 0.0000 0.0000
0.0000 6.8327 0.0000
3.4163 3.4163 4.0385
Cr H Na
2 2 4
Direct
0.0000 0.0000 0.0000 Cr
0.7500 0.2500 0.5000 Cr
0.5000 0.5000 0.0000 H
0.2500 0.7500 0.5000 H
0.4952 0.1250 0.2500 Na
0.2548 0.6250 0.2500 Na
0.3750 0.5048 0.7500 Na
0.8750 0.7452 0.7500 Na
```


Below is a geometry-optimized DyScSiAg structure, with properties calculated at the PBE-GGA level.

Summary:
- E_form (uncorrected) (eV per atom) = -0.430
- space-group type = F-43m, No. 216

```
DyScSiAg
1.0
4.9036 0.0000 0.0000
2.4518 4.2466 0.0000
2.4518 1.4155 4.0038
Sc Si Ag Dy
1 1 1 1
Direct
0.7500 0.7500 0.7500 Sc
0.0000 0.0000 0.0000 Si
0.5000 0.5000 0.5000 Ag
0.2500 0.2500 0.2500 Dy
```